Below is a geometry-optimized CsTmCrO4 structure, with properties calculated at the GGA+U level.

Space group: No. 11
Total magnetization: 2.00 μB per formula unit
VASP energy: -6.97 eV/atom

Cell lengths 5.807, 5.930, 8.093 Å; angles 90.00, 109.32, 90.00 degrees
Element x y z (fractional)
O 0.539 0.250 0.778
O 0.956 0.474 0.657
O 0.956 0.026 0.657
O 0.512 0.250 0.436
O 0.044 0.974 0.343
O 0.488 0.750 0.564
O 0.044 0.526 0.343
O 0.461 0.750 0.222
Cr 0.270 0.750 0.354
Cr 0.730 0.250 0.646
Tm 0.187 0.250 0.537
Tm 0.813 0.750 0.463
Cs 0.296 0.250 0.064
Cs 0.704 0.750 0.936